Entry from Alexandria: an optimized crystal structure of BaSn2TeO8 (PBE-GGA).

Output
Energy relative to the elements, uncorrected = -1.50 eV per atom
Crystal system = triclinic
Space group = P-1, No. 2

a = 5.1205 Å, b = 5.1237 Å, c = 7.3814 Å
α = 77.95°, β = 77.99°, γ = 76.62°
Closest atoms and distances in Å follow each position.
Atoms (fractional coordinates):
O 0.3394 0.3373 0.5066  2 Sn 2.06-2.13
O 0.2457 0.2444 0.9687  1 Te 1.92, 1 Sn 2.03
O 0.7543 0.7556 0.0313  1 Te 1.92, 1 Sn 2.03
O 0.7560 0.1847 0.2004  1 Te 1.98, 1 Sn 2.05
O 0.6606 0.6627 0.4934  2 Sn 2.06-2.13
O 0.1839 0.7552 0.2008  1 Te 1.98, 1 Sn 2.05
O 0.8161 0.2448 0.7992  1 Te 1.98, 1 Sn 2.05
O 0.2440 0.8153 0.7996  1 Te 1.98, 1 Sn 2.05
Te 0.0000 0.0000 0.0000  6 O 1.92-1.98
Sn 0.4440 0.4439 0.7316  5 O 2.03-2.13
Sn 0.5560 0.5561 0.2684  5 O 2.03-2.13
Ba 0.0000 0.0000 0.5000  6 O 2.66-2.73

Entry from Alexandria: an optimized crystal structure of Li2ZnCl (PBE-GGA).

Output
Energy relative to the elements, uncorrected = -0.62 eV per atom
Crystal system = tetragonal
DOS(E_F) = 0.31 states/eV/atom
Space group = I-4m2, No. 119

a = 6.8831 Å, b = 6.8831 Å, c = 6.8831 Å
α = 149.77°, β = 149.77°, γ = 43.28°
Closest atoms and distances in Å follow each position.
Atoms (fractional coordinates):
Cl 0.7500 0.2500 0.5000  4 Li 2.54
Li 0.2500 0.7500 0.5000  4 Cl 2.54
Li 0.0000 0.0000 0.0000  4 Zn 2.54
Zn 0.5000 0.5000 0.0000  4 Li 2.54

Entry from Alexandria: an optimized crystal structure of CdHgSeO6 (PBE-GGA).

Output
Energy relative to the elements, uncorrected = -0.50 eV per atom
Crystal system = monoclinic
Space group = C2/m, No. 12

a = 6.9905 Å, b = 6.9905 Å, c = 5.7237 Å
α = 89.13°, β = 89.13°, γ = 89.17°
Closest atoms and distances in Å follow each position.
Atoms (fractional coordinates):
O 0.6248 0.2739 0.9107  1 O 1.45
O 0.6324 0.6324 0.5279  1 Se 1.70
O 0.2739 0.6248 0.9107  1 O 1.45
O 0.3676 0.3676 0.4721  1 Se 1.70
O 0.7097 0.9926 0.3942  1 Se 1.68
O 0.1501 0.1501 0.1862  1 Se 1.65
O 0.3752 0.7261 0.0893  1 O 1.45
O 0.9926 0.7097 0.3942  1 Se 1.68
O 0.2903 0.0074 0.6058  1 Se 1.68
O 0.8499 0.8499 0.8138  1 Se 1.65
O 0.7261 0.3752 0.0893  1 O 1.45
O 0.0074 0.2903 0.6058  1 Se 1.68
Se 0.8026 0.8026 0.5390  4 O 1.65-1.70
Se 0.1974 0.1974 0.4610  4 O 1.65-1.70
Hg 0.0000 0.5000 0.0000  2 O 2.17
Hg 0.5000 0.0000 0.0000  2 O 2.17
Cd 0.3070 0.6930 0.5000  6 O 2.29-2.40
Cd 0.6930 0.3070 0.5000  6 O 2.29-2.40

Entry from Alexandria: an optimized crystal structure of KZn2Ni (PBE-GGA).

Output
Crystal system = tetragonal
DOS(E_F) = 0.47 states/eV/atom
Formation enthalpy at 0 K = 0.85 eV/f.u.
Space group = I4_1/amd, No. 141

a = 5.1603 Å, b = 5.1603 Å, c = 8.7581 Å
α = 72.87°, β = 72.87°, γ = 90.00°
Closest atoms and distances in Å follow each position.
Atoms (fractional coordinates):
K 0.2500 0.7500 0.5000  8 Zn 3.50-3.51, 4 Ni 3.65
K 0.5000 0.5000 0.0000  8 Zn 3.50-3.51, 4 Ni 3.65
Zn 0.3750 0.1251 0.7500  2 Ni 2.37, 2 Zn 2.58
Zn 0.8751 0.6250 0.2500  2 Ni 2.37, 2 Zn 2.58
Zn 0.8750 0.1249 0.7500  2 Ni 2.37, 2 Zn 2.58
Zn 0.8749 0.1250 0.2500  2 Ni 2.37, 2 Zn 2.58
Ni 0.7500 0.2500 0.5000  4 Zn 2.37
Ni 0.0000 0.0000 0.0000  4 Zn 2.37

Entry from Alexandria: an optimized crystal structure of Zr2Sc2Tl3 (PBE-GGA).

Output
Crystal system = orthorhombic
DOS(E_F) = 1.05 states/eV/atom
Formation enthalpy at 0 K = -0.18 eV/f.u.
Space group = Cmmm, No. 65

a = 4.5409 Å, b = 3.2311 Å, c = 11.4498 Å
α = 90.00°, β = 78.56°, γ = 90.00°
Closest atoms and distances in Å follow each position.
Atoms (fractional coordinates):
Sc 0.5715 0.5000 0.8571  1 Zr 3.04, 3 Sc 3.21-3.23, 8 Tl 3.22-3.28
Sc 0.4285 0.5000 0.1429  1 Zr 3.04, 3 Sc 3.21-3.23, 8 Tl 3.22-3.28
Tl 0.1486 0.0000 0.7029  4 Zr 3.08, 3 Tl 3.23-3.33, 4 Sc 3.28
Tl 0.8514 0.0000 0.2971  4 Zr 3.08, 3 Tl 3.23-3.33, 4 Sc 3.28
Tl 0.0000 0.0000 0.0000  8 Sc 3.22, 4 Tl 3.23-3.33
Zr 0.7067 0.5000 0.5866  4 Zr 2.99-3.23, 1 Sc 3.04, 4 Tl 3.08
Zr 0.2933 0.5000 0.4134  4 Zr 2.99-3.23, 1 Sc 3.04, 4 Tl 3.08

Entry from Alexandria: an optimized crystal structure of NaAsN (PBE-GGA).

Output
Energy relative to the elements, uncorrected = -0.04 eV per atom
Crystal system = monoclinic
DOS(E_F) = 0.22 states/eV/atom
Space group = P2_1/c, No. 14

a = 12.7137 Å, b = 6.1513 Å, c = 6.0653 Å
α = 90.00°, β = 153.75°, γ = 90.00°
Closest atoms and distances in Å follow each position.
Atoms (fractional coordinates):
N 0.9766 0.2481 0.6376  2 As 1.87-1.88
N 0.5234 0.7481 0.3624  2 As 1.87-1.88
N 0.0234 0.7519 0.3624  2 As 1.87-1.88
N 0.4766 0.2519 0.6376  2 As 1.87-1.88
Na 0.7314 0.5991 0.0960  4 N 2.55-2.61
Na 0.7686 0.0991 0.9040  4 N 2.55-2.61
Na 0.2686 0.4009 0.9040  4 N 2.55-2.61
Na 0.2314 0.9009 0.0960  4 N 2.55-2.61
As 0.7984 0.6566 0.7314  2 N 1.87-1.88
As 0.2984 0.8434 0.7314  2 N 1.87-1.88
As 0.2016 0.3434 0.2686  2 N 1.87-1.88
As 0.7016 0.1566 0.2686  2 N 1.87-1.88

Entry from Alexandria: an optimized crystal structure of TbGaPdPb (PBE-GGA).

Output
Crystal system = cubic
DOS(E_F) = 0.18 states/eV/atom
Formation enthalpy at 0 K = -1.99 eV/f.u.
Space group = F-43m, No. 216

a = 4.9767 Å, b = 4.9767 Å, c = 4.9767 Å
α = 60.00°, β = 60.00°, γ = 60.00°
Closest atoms and distances in Å follow each position.
Atoms (fractional coordinates):
Tb 0.0000 0.0000 0.0000  4 Pd 3.05, 4 Ga 3.05
Pb 0.5000 0.5000 0.5000  4 Ga 3.05, 4 Pd 3.05
Ga 0.2500 0.2500 0.2500  4 Tb 3.05, 4 Pb 3.05
Pd 0.7500 0.7500 0.7500  4 Pb 3.05, 4 Tb 3.05

Entry from Alexandria: an optimized crystal structure of MgInCu2 (PBE-GGA).

Output
Crystal system = monoclinic
DOS(E_F) = 0.35 states/eV/atom
Formation enthalpy at 0 K = -0.18 eV/f.u.
Space group = Pm, No. 6

a = 4.2268 Å, b = 3.1689 Å, c = 5.3283 Å
α = 71.87°, β = 90.00°, γ = 90.00°
Closest atoms and distances in Å follow each position.
Atoms (fractional coordinates):
In 0.0000 0.4614 0.4459  7 Cu 2.73-2.84
Cu 0.5000 0.0603 0.2552  2 Cu 2.52, 2 Mg 2.73-2.75, 4 In 2.81
Cu 0.0000 0.1935 0.9847  2 Cu 2.52, 2 In 2.73-2.81, 4 Mg 2.78
Mg 0.5000 0.7848 0.8142  7 Cu 2.73-2.83

Entry from Alexandria: an optimized crystal structure of YTa2As (PBE-GGA).

Output
Crystal system = trigonal
DOS(E_F) = 1.00 states/eV/atom
Formation enthalpy at 0 K = 0.59 eV/f.u.
Space group = R-3m, No. 166

a = 8.9323 Å, b = 8.9323 Å, c = 8.9323 Å
α = 21.48°, β = 21.48°, γ = 21.48°
Closest atoms and distances in Å follow each position.
Atoms (fractional coordinates):
Ta 0.0152 0.0152 0.0152  3 As 2.62
Ta 0.4848 0.4848 0.4848  3 As 2.62
As 0.7500 0.7500 0.7500  6 Ta 2.62
Y 0.2500 0.2500 0.2500  6 Ta 3.22, 6 Y 3.33

Entry from Alexandria: an optimized crystal structure of SnSe2F (PBE-GGA).

Output
Energy relative to the elements, uncorrected = -0.83 eV per atom
Crystal system = tetragonal
DOS(E_F) = 0.31 states/eV/atom
Space group = I-42d, No. 122

a = 9.5152 Å, b = 9.5152 Å, c = 7.1074 Å
α = 47.98°, β = 47.98°, γ = 90.00°
Closest atoms and distances in Å follow each position.
Atoms (fractional coordinates):
F 0.5000 0.5000 0.0000  2 Sn 2.29
F 0.2500 0.7500 0.5000  2 Sn 2.29
Se 0.8750 0.9307 0.7500  2 Se 2.52
Se 0.3750 0.3193 0.7500  2 Se 2.52
Se 0.6807 0.1250 0.2500  2 Se 2.52
Se 0.0693 0.6250 0.2500  2 Se 2.52
Sn 0.0000 0.0000 0.0000  2 F 2.29
Sn 0.7500 0.2500 0.5000  2 F 2.29

Copy entry 3 word for word.
Entry from Alexandria: an optimized crystal structure of CdHgSeO6 (PBE-GGA).

Output
Energy relative to the elements, uncorrected = -0.50 eV per atom
Crystal system = monoclinic
Space group = C2/m, No. 12

a = 6.9905 Å, b = 6.9905 Å, c = 5.7237 Å
α = 89.13°, β = 89.13°, γ = 89.17°
Closest atoms and distances in Å follow each position.
Atoms (fractional coordinates):
O 0.6248 0.2739 0.9107  1 O 1.45
O 0.6324 0.6324 0.5279  1 Se 1.70
O 0.2739 0.6248 0.9107  1 O 1.45
O 0.3676 0.3676 0.4721  1 Se 1.70
O 0.7097 0.9926 0.3942  1 Se 1.68
O 0.1501 0.1501 0.1862  1 Se 1.65
O 0.3752 0.7261 0.0893  1 O 1.45
O 0.9926 0.7097 0.3942  1 Se 1.68
O 0.2903 0.0074 0.6058  1 Se 1.68
O 0.8499 0.8499 0.8138  1 Se 1.65
O 0.7261 0.3752 0.0893  1 O 1.45
O 0.0074 0.2903 0.6058  1 Se 1.68
Se 0.8026 0.8026 0.5390  4 O 1.65-1.70
Se 0.1974 0.1974 0.4610  4 O 1.65-1.70
Hg 0.0000 0.5000 0.0000  2 O 2.17
Hg 0.5000 0.0000 0.0000  2 O 2.17
Cd 0.3070 0.6930 0.5000  6 O 2.29-2.40
Cd 0.6930 0.3070 0.5000  6 O 2.29-2.40